No. 1
! Ba3Li2Cd2, optimized geometry, DFT PBE; values from VASP
! space group: Pbcm, No. 57
! formation energy from the elements: -0.17 eV/atom
! crystal system: orthorhombic
&SYSTEM
  ibrav = 0, nat = 28, ntyp = 3
/
ATOMIC_SPECIES
Ba 137.33 Ba.upf
Li 6.94 Li.upf
Cd 112.41 Cd.upf
ATOMIC_POSITIONS crystal
Ba 0.1252 0.1159 0.1020
Ba 0.1252 0.1159 0.3980
Ba 0.1252 0.3841 0.6020
Ba 0.1252 0.3841 0.8980
Ba 0.3442 0.7365 0.7500
Ba 0.3442 0.7635 0.2500
Ba 0.6558 0.2365 0.7500
Ba 0.6558 0.2635 0.2500
Ba 0.8748 0.6159 0.1020
Ba 0.8748 0.6159 0.3980
Ba 0.8748 0.8841 0.6020
Ba 0.8748 0.8841 0.8980
Li 0.3898 0.0309 0.5850
Li 0.3898 0.0309 0.9150
Li 0.3898 0.4691 0.0850
Li 0.3898 0.4691 0.4150
Li 0.6102 0.5309 0.5850
Li 0.6102 0.5309 0.9150
Li 0.6102 0.9691 0.0850
Li 0.6102 0.9691 0.4150
Cd 0.1710 0.0886 0.7500
Cd 0.1710 0.4114 0.2500
Cd 0.3585 0.7500 0.0000
Cd 0.3585 0.7500 0.5000
Cd 0.6415 0.2500 0.0000
Cd 0.6415 0.2500 0.5000
Cd 0.8290 0.5886 0.7500
Cd 0.8290 0.9114 0.2500
CELL_PARAMETERS angstrom
6.7373 0.0000 0.0000
0.0000 9.6314 0.0000
0.0000 0.0000 15.8075

=====

No. 2
! NdDyGe2Pd2, optimized geometry, DFT PBE; values from VASP
! space group: P-3m1, No. 164
! formation energy from the elements: -0.92 eV/atom
! crystal system: trigonal
&SYSTEM
  ibrav = 0, nat = 6, ntyp = 4
/
ATOMIC_SPECIES
Nd 144.24 Nd.upf
Dy 162.50 Dy.upf
Ge 72.64 Ge.upf
Pd 106.42 Pd.upf
ATOMIC_POSITIONS crystal
Nd 0.0000 0.0000 0.0000
Dy 0.0000 0.0000 0.5000
Ge 0.3333 0.6667 0.2644
Ge 0.6667 0.3333 0.7356
Pd 0.3333 0.6667 0.7139
Pd 0.6667 0.3333 0.2861
CELL_PARAMETERS angstrom
4.4542 0.0000 0.0000
-2.2271 3.8575 0.0000
0.0000 0.0000 7.2687

=====

No. 3
! RbHgP2N, optimized geometry, DFT PBE; values from VASP
! space group: P4/mmm, No. 123
! ΔE to the lowest computed polymorph: 609.4 meV per atom
! energy relative to the elements, uncorrected: 2.003 eV per atom
! crystal system: tetragonal
&SYSTEM
  ibrav = 0, nat = 5, ntyp = 4
/
ATOMIC_SPECIES
Rb 85.47 Rb.upf
Hg 200.59 Hg.upf
P 30.97 P.upf
N 14.01 N.upf
ATOMIC_POSITIONS crystal
Rb 0.0000 0.0000 0.0000
Hg 0.5000 0.5000 0.5000
P 0.0000 0.5000 0.0000
P 0.5000 0.0000 0.0000
N 0.0000 0.0000 0.5000
CELL_PARAMETERS angstrom
7.0732 0.0000 0.0000
0.0000 7.0732 0.0000
0.0000 0.0000 5.8569

=====

No. 4
! LaReRu2, optimized geometry, DFT PBE; values from VASP
! space group: Fm-3m, No. 225
! ΔE to the lowest computed polymorph: 348.0 meV per atom
! formation energy from the elements: 0.48 eV/atom
! crystal system: cubic
&SYSTEM
  ibrav = 0, nat = 4, ntyp = 3
/
ATOMIC_SPECIES
La 138.91 La.upf
Re 186.21 Re.upf
Ru 101.07 Ru.upf
ATOMIC_POSITIONS crystal
La 0.0000 0.0000 0.0000
Re 0.5000 0.5000 0.5000
Ru 0.2500 0.2500 0.2500
Ru 0.7500 0.7500 0.7500
CELL_PARAMETERS angstrom
0.0000 3.2900 3.2900
3.2900 0.0000 3.2900
3.2900 3.2900 0.0000

=====

No. 5
! BaSnPd3, optimized geometry, DFT PBE; values from VASP
! space group: Cmmm, No. 65
! ΔE to the lowest computed polymorph: 255.6 meV per atom
! formation energy from the elements: -0.33 eV/atom
! crystal system: orthorhombic
&SYSTEM
  ibrav = 0, nat = 5, ntyp = 3
/
ATOMIC_SPECIES
Ba 137.33 Ba.upf
Sn 118.71 Sn.upf
Pd 106.42 Pd.upf
ATOMIC_POSITIONS crystal
Ba 0.0000 0.0000 0.0000
Sn 0.5000 0.5000 0.5000
Pd 0.0000 0.5000 0.5000
Pd 0.5000 0.0000 0.5000
Pd 0.5000 0.5000 0.0000
CELL_PARAMETERS angstrom
3.0706 -4.1543 0.0000
3.0706 4.1543 0.0000
0.0000 0.0000 5.1661

=====

No. 6
! Ce5OsPb2, optimized geometry, DFT PBE; values from VASP
! space group: Pbam, No. 55
! formation energy from the elements: -0.33 eV/atom
! crystal system: orthorhombic
&SYSTEM
  ibrav = 0, nat = 16, ntyp = 3
/
ATOMIC_SPECIES
Ce 140.12 Ce.upf
Os 190.23 Os.upf
Pb 207.20 Pb.upf
ATOMIC_POSITIONS crystal
Ce 0.0000 0.0000 0.0000
Ce 0.1276 0.3020 0.0000
Ce 0.1986 0.5595 0.5000
Ce 0.3014 0.0595 0.5000
Ce 0.3724 0.8020 0.0000
Ce 0.5000 0.5000 0.0000
Ce 0.6276 0.1980 0.0000
Ce 0.6986 0.9405 0.5000
Ce 0.8014 0.4405 0.5000
Ce 0.8724 0.6980 0.0000
Os 0.0000 0.5000 0.0000
Os 0.5000 0.0000 0.0000
Pb 0.0858 0.8239 0.5000
Pb 0.4142 0.3239 0.5000
Pb 0.5858 0.6761 0.5000
Pb 0.9142 0.1761 0.5000
CELL_PARAMETERS angstrom
7.9789 0.0000 0.0000
0.0000 12.4462 0.0000
0.0000 0.0000 4.7021

=====

Q: Which magnetic moment values were calculated for the entries above? A: 0.000, 0.000, 8.000, 1.041, 0.000, 4.689, in μB/f.u..
Q: Which VASP energy values were calculated for the entries above? A: -50.556, -34.524, -10.399, -33.991, -23.156, -101.850, in eV/cell.
Q: Which N(E_F) values were calculated for the entries above? A: 28.29, 4.68, 2.26, 5.95, 2.75, 53.30, in states/eV per cell.